The following is a DFT calculation (SCAN) of a PBEsol-optimized structure of LaHfOsSe2.

Summary:
- Formation energy without anion corrections: 8.64 eV per formula unit
- Space-group type: No. 123
- Mass density: 6.64 Mg/m³

abc: 5.3575 5.3575 5.8006
angles: 90.00 90.00 90.00
Each line ends with the local moment (μB).
Fractional positions:
Hf  0.0000  0.0000  0.5000  1.08
Os  0.5000  0.5000  0.5000  -2.95
Se  0.0000  0.5000  0.0000  -0.19
Se  0.5000  0.0000  0.0000  -0.19
La  0.0000  0.0000  0.0000  0.15

---

The following is a DFT calculation (SCAN) of a PBEsol-optimized structure of La2HfPPb.

Summary:
- Space-group type: No. 123
- Mass density: 7.39 Mg/m³
- Formation enthalpy at 0 K: 0.05 eV per atom

abc: 5.2293 5.4616 5.4616
angles: 90.00 90.00 90.00
Each line ends with the local moment (μB).
Fractional positions:
Pb  0.5000  0.0000  0.0000  -0.03
P  0.0000  0.0000  0.0000  0.01
Hf  0.5000  0.5000  0.5000  1.04
La  0.0000  0.0000  0.5000  0.18
La  0.0000  0.5000  0.0000  0.18

---

The following is a DFT calculation (SCAN) of a PBEsol-optimized structure of LaHfP2S.

Summary:
- Formation energy without anion corrections: 3.62 eV per formula unit
- Space-group type: No. 123
- Mass density: 5.06 Mg/m³

abc: 5.1660 5.1134 5.1134
angles: 90.00 90.00 90.00
Each line ends with the local moment (μB).
Fractional positions:
P  0.0000  0.0000  0.5000  0.14
P  0.0000  0.5000  0.0000  0.14
S  0.5000  0.0000  0.0000  0.05
Hf  0.5000  0.5000  0.5000  -0.55
La  0.0000  0.0000  0.0000  0.07

---

The following is a DFT calculation (SCAN) of a PBEsol-optimized structure of La3HfPb.

Summary:
- Space-group type: No. 221
- Mass density: 6.31 Mg/m³
- Formation enthalpy at 0 K: 0.60 eV per atom

abc: 5.9551 5.9551 5.9551
angles: 90.00 90.00 90.00
Each line ends with the local moment (μB).
Fractional positions:
Pb  0.0000  0.0000  0.0000  0.03
Hf  0.5000  0.5000  0.5000  1.28
La  0.0000  0.5000  0.0000  0.26
La  0.0000  0.0000  0.5000  0.26
La  0.5000  0.0000  0.0000  0.26

---

The following is a DFT calculation (SCAN) of a PBEsol-optimized structure of LaHfPdPb2.

Summary:
- Space-group type: No. 123
- Mass density: 10.00 Mg/m³
- Formation enthalpy at 0 K: 0.04 eV per atom

abc: 5.0831 5.2333 5.2333
angles: 90.00 90.00 90.00
Each line ends with the local moment (μB).
Fractional positions:
Pb  0.0000  0.0000  0.5000  -0.01
Pb  0.0000  0.5000  0.0000  -0.01
Hf  0.5000  0.0000  0.0000  0.69
Pd  0.0000  0.0000  0.0000  0.07
La  0.5000  0.5000  0.5000  0.18

---

The following is a DFT calculation (SCAN) of a PBEsol-optimized structure of La2HfTePb.

Summary:
- Formation energy without anion corrections: -0.37 eV per formula unit
- Space-group type: No. 123
- Mass density: 7.32 Mg/m³

abc: 5.2065 5.8707 5.8707
angles: 90.00 90.00 90.00
Fractional positions:
Pb  0.5000  0.5000  0.5000
Te  0.0000  0.0000  0.0000
Hf  0.5000  0.0000  0.0000
La  0.0000  0.0000  0.5000
La  0.0000  0.5000  0.0000

---

The following is a DFT calculation (SCAN) of a PBEsol-optimized structure of Rb2LaHf2.

Summary:
- Space-group type: No. 139
- Mass density: 7.04 Mg/m³
- Formation enthalpy at 0 K: 1.60 eV per atom

abc: 4.9280 4.9280 7.3579
angles: 109.56 109.56 90.00
Fractional positions:
Hf  0.2500  0.7500  0.5000
Hf  0.7500  0.2500  0.5000
Rb  0.3861  0.3861  0.7722
Rb  0.6139  0.6139  0.2278
La  0.0000  0.0000  0.0000

---

The following is a DFT calculation (SCAN) of a PBEsol-optimized structure of LaHf2Rh2.

Summary:
- Space-group type: No. 139
- Mass density: 10.82 Mg/m³
- Formation enthalpy at 0 K: -0.84 eV per atom

abc: 4.4712 4.4712 6.2438
angles: 110.98 110.98 90.00
Fractional positions:
Rh  0.3777  0.3777  0.7554
Rh  0.6223  0.6223  0.2446
Hf  0.2500  0.7500  0.5000
Hf  0.7500  0.2500  0.5000
La  0.0000  0.0000  0.0000

---

The following is a DFT calculation (SCAN) of a PBEsol-optimized structure of LaHf3S.

Summary:
- Formation energy without anion corrections: -1.85 eV per formula unit
- Space-group type: No. 221
- Mass density: 10.11 Mg/m³

abc: 4.8779 4.8779 4.8779
angles: 90.00 90.00 90.00
Fractional positions:
S  0.0000  0.0000  0.0000
Hf  0.0000  0.5000  0.0000
Hf  0.0000  0.0000  0.5000
Hf  0.5000  0.0000  0.0000
La  0.5000  0.5000  0.5000

---

The following is a DFT calculation (SCAN) of a PBEsol-optimized structure of La2HfS5.

Summary:
- Formation energy without anion corrections: -18.09 eV per formula unit
- Space-group type: No. 62
- Mass density: 6.12 Mg/m³

abc: 7.2839 8.1648 11.2610
angles: 90.00 90.00 90.00
Fractional positions:
La  0.4339  0.0020  0.3301
La  0.0661  0.4980  0.8301
La  0.5661  0.5020  0.6699
La  0.9339  0.9980  0.1699
La  0.5661  0.9980  0.6699
La  0.9339  0.5020  0.1699
La  0.4339  0.4980  0.3301
La  0.0661  0.0020  0.8301
Hf  0.9284  0.2500  0.4897
Hf  0.5716  0.2500  0.9897
Hf  0.0716  0.7500  0.5103
Hf  0.4284  0.7500  0.0103
S  0.1807  0.4644  0.5688
S  0.3193  0.0356  0.0688
S  0.8193  0.9644  0.4312
S  0.6807  0.5356  0.9312
S  0.8193  0.5356  0.4312
S  0.6807  0.9644  0.9312
S  0.1807  0.0356  0.5688
S  0.3193  0.4644  0.0688
S  0.1345  0.2500  0.3049
S  0.3655  0.2500  0.8049
S  0.8655  0.7500  0.6951
S  0.6345  0.7500  0.1951
S  0.5608  0.2500  0.4945
S  0.9392  0.2500  0.9945
S  0.4392  0.7500  0.5055
S  0.0608  0.7500  0.0055
S  0.8467  0.2500  0.7087
S  0.6533  0.2500  0.2087
S  0.1533  0.7500  0.2913
S  0.3467  0.7500  0.7913

---

The following is a DFT calculation (SCAN) of a PBEsol-optimized structure of LaHfTeS2.

Summary:
- Formation energy without anion corrections: -4.81 eV per formula unit
- Space-group type: No. 123
- Mass density: 5.45 Mg/m³

abc: 4.7284 4.7284 6.9424
angles: 90.00 90.00 90.00
Fractional positions:
S  0.0000  0.5000  0.0000
S  0.5000  0.0000  0.0000
Te  0.5000  0.5000  0.5000
Hf  0.0000  0.0000  0.0000
La  0.0000  0.0000  0.5000

---

The following is a DFT calculation (SCAN) of a PBEsol-optimized structure of LaHf3Sb.

Summary:
- Formation energy without anion corrections: 7.28 eV per formula unit
- Space-group type: No. 221
- Mass density: 10.08 Mg/m³

abc: 5.0815 5.0815 5.0815
angles: 90.00 90.00 90.00
Fractional positions:
Sb  0.5000  0.5000  0.5000
Hf  0.0000  0.5000  0.0000
Hf  0.0000  0.0000  0.5000
Hf  0.5000  0.0000  0.0000
La  0.0000  0.0000  0.0000

---

> Which value of mass density does entry 2 give?

7.39 Mg/m³

---

> Among the records above, which one has the highest mass density?

LaHf2Rh2